Compound: KAlI2N
Source: the Alexandria database
Functional: PBE
Structure: optimized geometry

CIF file:
```
data_KAlI2N
_chemical_formula_sum 'K1 Al1 I2 N1'
_cell_length_a 6.540
_cell_length_b 6.540
_cell_length_c 5.261
_cell_angle_alpha 90.00
_cell_angle_beta 90.00
_cell_angle_gamma 90.00
_symmetry_space_group_name_H-M 'P 4/m m m'
_symmetry_Int_Tables_number 123
_symmetry_space_group_name_Hall '-P 4 2'
loop_
_atom_site_label
_atom_site_type_symbol
_atom_site_fract_x
_atom_site_fract_y
_atom_site_fract_z
K1 K 0.000 0.000 0.000
Al1 Al 0.500 0.500 0.500
I1 I 0.000 0.500 0.000
N1 N 0.000 0.000 0.500
```

Raw formation energy (eV per atom): 0.75
Offset from the most stable computed form (eV per atom): 1.151
VASP energy (eV for the cell shown): -12.5
M_tot (μB/atom): 0.61
ρ (g/cm3): 2.46



Compound: FeMoRh
Source: the Alexandria database
Functional: PBE
Structure: optimized geometry

CIF file:
```
data_FeMoRh
_chemical_formula_sum 'Fe2 Mo2 Rh2'
_cell_length_a 2.699
_cell_length_b 3.792
_cell_length_c 8.146
_cell_angle_alpha 90.00
_cell_angle_beta 90.00
_cell_angle_gamma 90.00
_symmetry_space_group_name_H-M 'I m m 2'
_symmetry_Int_Tables_number 44
_symmetry_space_group_name_Hall 'I 2 -2'
loop_
_atom_site_label
_atom_site_type_symbol
_atom_site_fract_x
_atom_site_fract_y
_atom_site_fract_z
Fe1 Fe 0.000 0.000 0.000
Mo1 Mo 0.000 0.000 0.666
Rh1 Rh 0.000 0.000 0.339
```

Offset from the most stable computed form (eV per atom): 0.000
VASP energy (eV for the cell shown): -53.4
M_tot (μB/atom): 0.73
Formation energy from the elements (eV per atom): -0.02
ρ (g/cm3): 10.15



Compound: KLi2Al
Source: the Alexandria database
Functional: PBE
Structure: optimized geometry

CIF file:
```
data_KLi2Al
_chemical_formula_sum 'K4 Li8 Al4'
_cell_length_a 7.663
_cell_length_b 7.663
_cell_length_c 7.663
_cell_angle_alpha 90.00
_cell_angle_beta 90.00
_cell_angle_gamma 90.00
_symmetry_space_group_name_H-M 'F -4 3 m'
_symmetry_Int_Tables_number 216
_symmetry_space_group_name_Hall 'F -4 2 3'
loop_
_atom_site_label
_atom_site_type_symbol
_atom_site_fract_x
_atom_site_fract_y
_atom_site_fract_z
K1 K 0.000 0.000 0.000
Li1 Li 0.000 0.000 0.500
Li2 Li 0.250 0.250 0.750
Al1 Al 0.250 0.250 0.250
```

VASP energy (eV for the cell shown): -29.7
M_tot (μB/atom): 0.00
Formation energy from the elements (eV per atom): 0.31
ρ (g/cm3): 1.18



Compound: Sr4CaZn5
Source: the Alexandria database
Functional: PBE
Structure: optimized geometry

CIF file:
```
data_Sr4CaZn5
_chemical_formula_sum 'Sr4 Ca1 Zn5'
_cell_length_a 3.859
_cell_length_b 3.859
_cell_length_c 19.348
_cell_angle_alpha 90.00
_cell_angle_beta 90.00
_cell_angle_gamma 90.00
_symmetry_space_group_name_H-M 'P 4/m m m'
_symmetry_Int_Tables_number 123
_symmetry_space_group_name_Hall '-P 4 2'
loop_
_atom_site_label
_atom_site_type_symbol
_atom_site_fract_x
_atom_site_fract_y
_atom_site_fract_z
Sr1 Sr 0.000 0.000 0.102
Sr2 Sr 0.000 0.000 0.308
Ca1 Ca 0.000 0.000 0.500
Zn1 Zn 0.500 0.500 0.000
Zn2 Zn 0.500 0.500 0.205
Zn3 Zn 0.500 0.500 0.414
```

VASP energy (eV for the cell shown): -17.0
M_tot (μB/atom): 0.00
Formation energy from the elements (eV per atom): -0.19
ρ (g/cm3): 4.14



Compound: Ba3LiB2S6
Source: the Alexandria database
Functional: PBE
Structure: optimized geometry

CIF file:
```
data_Ba3LiB2S6
_chemical_formula_sum 'Ba3 Li1 B2 S6'
_cell_length_a 6.7155
_cell_length_b 6.7155
_cell_length_c 8.2581
_cell_angle_alpha 90.00
_cell_angle_beta 90.00
_cell_angle_gamma 120.00
_symmetry_space_group_name_H-M 'P -3 m 1'
_symmetry_Int_Tables_number 164
_symmetry_space_group_name_Hall '-P 3 2"'
loop_
_atom_site_label
_atom_site_type_symbol
_atom_site_fract_x
_atom_site_fract_y
_atom_site_fract_z
Ba1 Ba 0.0000 0.0000 0.0000
Ba2 Ba 0.3333 0.6667 0.6348
Li1 Li 0.0000 0.0000 0.5000
B1 B 0.3333 0.6667 0.2727
S1 S 0.1765 0.3530 0.2897
```

Raw formation energy (eV per atom): -1.25
VASP energy (eV for the cell shown): -60.8
M_tot (μB/atom): 0.00
ρ (g/cm3): 3.26



Compound: Pm2Cu2Sn3
Source: the Alexandria database
Functional: PBE
Structure: optimized geometry

CIF file:
```
data_Pm2Cu2Sn3
_chemical_formula_sum 'Pm8 Cu8 Sn12'
_cell_length_a 4.626
_cell_length_b 19.660
_cell_length_c 7.160
_cell_angle_alpha 90.00
_cell_angle_beta 90.00
_cell_angle_gamma 90.00
_symmetry_space_group_name_H-M 'C m c m'
_symmetry_Int_Tables_number 63
_symmetry_space_group_name_Hall '-C 2c 2'
loop_
_atom_site_label
_atom_site_type_symbol
_atom_site_fract_x
_atom_site_fract_y
_atom_site_fract_z
Pm1 Pm 0.000 0.043 0.250
Pm2 Pm 0.000 0.161 0.750
Cu1 Cu 0.000 0.300 0.559
Sn1 Sn 0.000 0.216 0.250
Sn2 Sn 0.000 0.428 0.048
```

Offset from the most stable computed form (eV per atom): 0.000
VASP energy (eV for the cell shown): -133.7
M_tot (μB/atom): 0.00
Formation energy from the elements (eV per atom): -0.53
ρ (g/cm3): 7.89



Compound: SiPOF2
Source: the Alexandria database
Functional: PBE
Structure: optimized geometry

CIF file:
```
data_SiPOF2
_chemical_formula_sum 'Si1 P1 O1 F2'
_cell_length_a 4.479
_cell_length_b 4.479
_cell_length_c 3.477
_cell_angle_alpha 90.00
_cell_angle_beta 90.00
_cell_angle_gamma 90.00
_symmetry_space_group_name_H-M 'P 4/m m m'
_symmetry_Int_Tables_number 123
_symmetry_space_group_name_Hall '-P 4 2'
loop_
_atom_site_label
_atom_site_type_symbol
_atom_site_fract_x
_atom_site_fract_y
_atom_site_fract_z
Si1 Si 0.000 0.000 0.000
P1 P 0.500 0.500 0.500
O1 O 0.500 0.500 0.000
F1 F 0.000 0.500 0.500
```

Raw formation energy (eV per atom): -0.56
Offset from the most stable computed form (eV per atom): 0.301
VASP energy (eV for the cell shown): -22.3
M_tot (μB/atom): 0.14
ρ (g/cm3): 2.69



Compound: SbTeAs2
Source: the Alexandria database
Functional: PBE
Structure: optimized geometry

CIF file:
```
data_SbTeAs2
_chemical_formula_sum 'Sb2 Te2 As4'
_cell_length_a 12.470
_cell_length_b 4.092
_cell_length_c 4.300
_cell_angle_alpha 90.00
_cell_angle_beta 106.64
_cell_angle_gamma 90.00
_symmetry_space_group_name_H-M 'C 1 m 1'
_symmetry_Int_Tables_number 8
_symmetry_space_group_name_Hall 'C -2y'
loop_
_atom_site_label
_atom_site_type_symbol
_atom_site_fract_x
_atom_site_fract_y
_atom_site_fract_z
Sb1 Sb 0.000 0.000 0.000
Te1 Te 0.256 0.000 0.283
As1 As 0.024 0.500 0.588
As2 As 0.245 0.500 0.771
```

Raw formation energy (eV per atom): 0.07
Offset from the most stable computed form (eV per atom): 0.001
VASP energy (eV for the cell shown): -32.6
M_tot (μB/atom): 0.00
ρ (g/cm3): 6.31



Compound: TaIn3Hg
Source: the Alexandria database
Functional: PBE
Structure: optimized geometry

CIF file:
```
data_TaIn3Hg
_chemical_formula_sum 'Ta1 In3 Hg1'
_cell_length_a 5.513
_cell_length_b 5.513
_cell_length_c 5.513
_cell_angle_alpha 90.00
_cell_angle_beta 90.00
_cell_angle_gamma 90.00
_symmetry_space_group_name_H-M 'P m -3 m'
_symmetry_Int_Tables_number 221
_symmetry_space_group_name_Hall '-P 4 2 3'
loop_
_atom_site_label
_atom_site_type_symbol
_atom_site_fract_x
_atom_site_fract_y
_atom_site_fract_z
Ta1 Ta 0.000 0.000 0.000
In1 In 0.000 0.000 0.500
Hg1 Hg 0.500 0.500 0.500
```

Offset from the most stable computed form (eV per atom): 0.000
VASP energy (eV for the cell shown): -17.0
M_tot (μB/atom): 0.17
Formation energy from the elements (eV per atom): 0.67
ρ (g/cm3): 7.19



Compound: Ac3La2In4
Source: the Alexandria database
Functional: PBE
Structure: optimized geometry

CIF file:
```
data_Ac3La2In4
_chemical_formula_sum 'Ac12 La8 In16'
_cell_length_a 7.165
_cell_length_b 21.121
_cell_length_c 8.615
_cell_angle_alpha 90.00
_cell_angle_beta 90.00
_cell_angle_gamma 90.00
_symmetry_space_group_name_H-M 'C m c e'
_symmetry_Int_Tables_number 64
_symmetry_space_group_name_Hall '-C 2ac 2'
loop_
_atom_site_label
_atom_site_type_symbol
_atom_site_fract_x
_atom_site_fract_y
_atom_site_fract_z
Ac1 Ac 0.000 0.000 0.000
Ac2 Ac 0.250 0.239 0.250
La1 La 0.000 0.087 0.590
In1 In 0.000 0.155 0.958
In2 In 0.250 0.078 0.250
```

VASP energy (eV for the cell shown): -141.0
M_tot (μB/atom): 0.00
Formation energy from the elements (eV per atom): -0.24
ρ (g/cm3): 7.22



Compound: Er5Bi4B
Source: the Alexandria database
Functional: PBE
Structure: optimized geometry

CIF file:
```
data_Er5Bi4B
_chemical_formula_sum 'Er10 Bi8 B2'
_cell_length_a 9.613
_cell_length_b 9.613
_cell_length_c 6.166
_cell_angle_alpha 90.00
_cell_angle_beta 90.00
_cell_angle_gamma 90.00
_symmetry_space_group_name_H-M 'I 4'
_symmetry_Int_Tables_number 79
_symmetry_space_group_name_Hall 'I 4'
loop_
_atom_site_label
_atom_site_type_symbol
_atom_site_fract_x
_atom_site_fract_y
_atom_site_fract_z
Er1 Er 0.000 0.000 0.000
Er2 Er 0.097 0.750 0.548
Bi1 Bi 0.079 0.685 0.050
B1 B 0.000 0.000 0.582
```

VASP energy (eV for the cell shown): -100.5
M_tot (μB/atom): 0.00
Formation energy from the elements (eV per atom): -0.53
ρ (g/cm3): 9.81



Compound: CaNiMo2Au
Source: the Alexandria database
Functional: PBE
Structure: optimized geometry

CIF file:
```
data_CaNiMo2Au
_chemical_formula_sum 'Ca1 Ni1 Mo2 Au1'
_cell_length_a 4.569
_cell_length_b 4.569
_cell_length_c 4.987
_cell_angle_alpha 90.00
_cell_angle_beta 90.00
_cell_angle_gamma 90.00
_symmetry_space_group_name_H-M 'P 4/m m m'
_symmetry_Int_Tables_number 123
_symmetry_space_group_name_Hall '-P 4 2'
loop_
_atom_site_label
_atom_site_type_symbol
_atom_site_fract_x
_atom_site_fract_y
_atom_site_fract_z
Ca1 Ca 0.000 0.000 0.000
Ni1 Ni 0.500 0.500 0.500
Mo1 Mo 0.000 0.500 0.000
Au1 Au 0.000 0.000 0.500
```

VASP energy (eV for the cell shown): -20.2
M_tot (μB/atom): 0.06
Formation energy from the elements (eV per atom): 2.51
ρ (g/cm3): 7.78



Compound: Na2CdPd5Pt2
Source: the Alexandria database
Functional: PBE
Structure: optimized geometry

CIF file:
```
data_Na2CdPd5Pt2
_chemical_formula_sum 'Na4 Cd2 Pd10 Pt4'
_cell_length_a 9.272
_cell_length_b 9.272
_cell_length_c 4.195
_cell_angle_alpha 90.00
_cell_angle_beta 90.00
_cell_angle_gamma 90.00
_symmetry_space_group_name_H-M 'P 4/m b m'
_symmetry_Int_Tables_number 127
_symmetry_space_group_name_Hall '-P 4 2ab'
loop_
_atom_site_label
_atom_site_type_symbol
_atom_site_fract_x
_atom_site_fract_y
_atom_site_fract_z
Na1 Na 0.173 0.327 0.000
Cd1 Cd 0.000 0.000 0.000
Pd1 Pd 0.000 0.500 0.500
Pd2 Pd 0.069 0.798 0.500
Pt1 Pt 0.124 0.624 0.000
```

VASP energy (eV for the cell shown): -84.4
M_tot (μB/atom): 0.00
Formation energy from the elements (eV per atom): -0.06
ρ (g/cm3): 9.95



Compound: Ca3GeH
Source: the Alexandria database
Functional: PBE
Structure: optimized geometry

CIF file:
```
data_Ca3GeH
_chemical_formula_sum 'Ca3 Ge1 H1'
_cell_length_a 4.822
_cell_length_b 4.822
_cell_length_c 4.822
_cell_angle_alpha 90.00
_cell_angle_beta 90.00
_cell_angle_gamma 90.00
_symmetry_space_group_name_H-M 'P m -3 m'
_symmetry_Int_Tables_number 221
_symmetry_space_group_name_Hall '-P 4 2 3'
loop_
_atom_site_label
_atom_site_type_symbol
_atom_site_fract_x
_atom_site_fract_y
_atom_site_fract_z
Ca1 Ca 0.000 0.000 0.500
Ge1 Ge 0.500 0.500 0.500
H1 H 0.000 0.000 0.000
```

Offset from the most stable computed form (eV per atom): 0.052
VASP energy (eV for the cell shown): -15.8
M_tot (μB/atom): 0.00
ρ (g/cm3): 2.87



Compound: BaHfGaRu2
Source: the Alexandria database
Functional: PBE
Structure: optimized geometry

CIF file:
```
data_BaHfGaRu2
_chemical_formula_sum 'Ba1 Hf1 Ga1 Ru2'
_cell_length_a 4.811
_cell_length_b 4.811
_cell_length_c 4.927
_cell_angle_alpha 90.00
_cell_angle_beta 90.00
_cell_angle_gamma 90.00
_symmetry_space_group_name_H-M 'P 4/m m m'
_symmetry_Int_Tables_number 123
_symmetry_space_group_name_Hall '-P 4 2'
loop_
_atom_site_label
_atom_site_type_symbol
_atom_site_fract_x
_atom_site_fract_y
_atom_site_fract_z
Ba1 Ba 0.000 0.000 0.000
Hf1 Hf 0.500 0.500 0.000
Ga1 Ga 0.500 0.500 0.500
Ru1 Ru 0.000 0.500 0.500
```

VASP energy (eV for the cell shown): -29.3
M_tot (μB/atom): 0.00
Formation energy from the elements (eV per atom): 0.82
ρ (g/cm3): 8.56



Compound: KSc2Re2
Source: the Alexandria database
Functional: PBE
Structure: optimized geometry

CIF file:
```
data_KSc2Re2
_chemical_formula_sum 'K2 Sc4 Re4'
_cell_length_a 5.085
_cell_length_b 5.085
_cell_length_c 9.208
_cell_angle_alpha 90.00
_cell_angle_beta 90.00
_cell_angle_gamma 90.00
_symmetry_space_group_name_H-M 'I 4/m m m'
_symmetry_Int_Tables_number 139
_symmetry_space_group_name_Hall '-I 4 2'
loop_
_atom_site_label
_atom_site_type_symbol
_atom_site_fract_x
_atom_site_fract_y
_atom_site_fract_z
K1 K 0.000 0.000 0.000
Sc1 Sc 0.000 0.500 0.250
Re1 Re 0.000 0.000 0.371
```

Offset from the most stable computed form (eV per atom): 0.276
VASP energy (eV for the cell shown): -68.9
M_tot (μB/atom): 0.00
Formation energy from the elements (eV per atom): 0.84
ρ (g/cm3): 6.99



Compound: BaIn2Pt
Source: the Alexandria database
Functional: PBE
Structure: optimized geometry

CIF file:
```
data_BaIn2Pt
_chemical_formula_sum 'Ba4 In8 Pt4'
_cell_length_a 5.562
_cell_length_b 5.562
_cell_length_c 18.101
_cell_angle_alpha 90.00
_cell_angle_beta 90.00
_cell_angle_gamma 90.00
_symmetry_space_group_name_H-M 'I -4 2 d'
_symmetry_Int_Tables_number 122
_symmetry_space_group_name_Hall 'I -4 2bw'
loop_
_atom_site_label
_atom_site_type_symbol
_atom_site_fract_x
_atom_site_fract_y
_atom_site_fract_z
Ba1 Ba 0.000 0.000 0.000
In1 In 0.048 0.250 0.625
Pt1 Pt 0.000 0.000 0.500
```

VASP energy (eV for the cell shown): -58.7
M_tot (μB/atom): 0.00
Formation energy from the elements (eV per atom): -0.31
ρ (g/cm3): 6.67



Compound: Nd2YSn3Rh4
Source: the Alexandria database
Functional: PBE
Structure: optimized geometry

CIF file:
```
data_Nd2YSn3Rh4
_chemical_formula_sum 'Nd2 Y1 Sn3 Rh4'
_cell_length_a 4.410
_cell_length_b 4.410
_cell_length_c 11.512
_cell_angle_alpha 90.00
_cell_angle_beta 90.00
_cell_angle_gamma 90.00
_symmetry_space_group_name_H-M 'P -4 m 2'
_symmetry_Int_Tables_number 115
_symmetry_space_group_name_Hall 'P -4 -2'
loop_
_atom_site_label
_atom_site_type_symbol
_atom_site_fract_x
_atom_site_fract_y
_atom_site_fract_z
Nd1 Nd 0.000 0.500 0.232
Y1 Y 0.000 0.000 0.500
Sn1 Sn 0.000 0.500 0.874
Sn2 Sn 0.500 0.500 0.500
Rh1 Rh 0.000 0.000 0.000
Rh2 Rh 0.000 0.500 0.648
Rh3 Rh 0.500 0.500 0.000
```

VASP energy (eV for the cell shown): -64.8
M_tot (μB/atom): 0.00
Formation energy from the elements (eV per atom): -0.74
ρ (g/cm3): 8.49



Compound: PrBi2O5
Source: the Alexandria database
Functional: PBE
Structure: optimized geometry

CIF file:
```
data_PrBi2O5
_chemical_formula_sum 'Pr4 Bi8 O20'
_cell_length_a 6.512
_cell_length_b 6.512
_cell_length_c 11.076
_cell_angle_alpha 90.00
_cell_angle_beta 90.00
_cell_angle_gamma 90.00
_symmetry_space_group_name_H-M 'I 4/m c m'
_symmetry_Int_Tables_number 140
_symmetry_space_group_name_Hall '-I 4 2c'
loop_
_atom_site_label
_atom_site_type_symbol
_atom_site_fract_x
_atom_site_fract_y
_atom_site_fract_z
Pr1 Pr 0.000 0.000 0.250
Bi1 Bi 0.169 0.331 0.000
O1 O 0.000 0.000 0.000
O2 O 0.171 0.329 0.357
```

Raw formation energy (eV per atom): -1.60
Offset from the most stable computed form (eV per atom): 0.063
VASP energy (eV for the cell shown): -200.5
M_tot (μB/atom): 0.00
ρ (g/cm3): 9.03